[1]
Computed, not measured: an optimized crystal structure of Ti5NiGe5 at the PBE level of DFT.

The structure belongs to space group C2/m (No. 12); the cell edges are 11.738, 5.171 and 6.473 Å and the angles 90.00°, 107.81° and 90.00°. The asymmetric unit holds Ti at (0.000, 0.000, 0.000), Ti at (0.106, 0.500, 0.210), Ti at (0.184, 0.500, 0.830), Ni at (0.000, 0.000, 0.500), Ge at (0.000, 0.500, 0.500), Ge at (0.167, 0.000, 0.803) and Ge at (0.177, 0.000, 0.396).

As for the energy relative to the elements: -203 meV/atom. As for the volume: 187 Å³/f.u. The calculation puts the calculated total energy at -141.15 eV/cell.

***

[2]
Computed, not measured: an optimized crystal structure of TiGeC3 at the PBE level of DFT.

The structure belongs to space group Pm-3m (No. 221); the cell edges are 3.878, 3.878 and 3.878 Å and the angles 90.00°, 90.00° and 90.00°. The asymmetric unit holds Ti at (0.000, 0.000, 0.000), Ge at (0.500, 0.500, 0.500) and C at (0.000, 0.500, 0.500).

As for the energy relative to the elements: 2137 meV/atom. The value obtained for the energy above the most stable polymorph in this dataset is 220 meV/atom. As for the volume: 58 Å³/f.u. The calculation puts the calculated total energy at -29.50 eV/cell.

***

[3]
Computed, not measured: an optimized crystal structure of Pm2Ho2Th5 at the PBE level of DFT.

The structure belongs to space group C2/m (No. 12); the cell edges are 11.352, 5.031 and 10.786 Å and the angles 90.00°, 108.52° and 90.00°. The asymmetric unit holds Pm at (0.166, 0.000, 0.057), Ho at (0.167, 0.000, 0.392), Th at (0.000, 0.500, 0.500), Th at (0.002, 0.500, 0.172) and Th at (0.163, 0.000, 0.720).

As for the energy relative to the elements: 62 meV/atom. As for the volume: 292 Å³/f.u. The calculation puts the calculated total energy at -110.39 eV/cell.

***

[4]
Computed, not measured: an optimized crystal structure of PrHoRh at the PBE level of DFT.

The structure belongs to space group P2_1/c (No. 14); the cell edges are 6.922, 6.138 and 10.304 Å and the angles 90.00°, 128.08° and 90.00°. The asymmetric unit holds Pr at (0.181, 0.129, 0.387), Ho at (0.342, 0.613, 0.633) and Rh at (0.340, 0.672, 0.366).

As for the energy relative to the elements: -486 meV/atom. The value obtained for the energy above the most stable polymorph in this dataset is 92 meV/atom. As for the volume: 86 Å³/f.u. The calculation puts the calculated total energy at -72.67 eV/cell.

***

[5]
Computed, not measured: an optimized crystal structure of InSbP at the PBE level of DFT.

The structure belongs to space group Cm (No. 8); the cell edges are 13.100, 3.812 and 6.008 Å and the angles 90.00°, 91.16° and 90.00°. The asymmetric unit holds In at (0.000, 0.000, 0.000), In at (0.154, 0.500, 0.533), Sb at (0.299, 0.000, 0.044), Sb at (0.460, 0.500, 0.498), P at (0.157, 0.500, 0.990) and P at (0.307, 0.000, 0.477).

The value obtained for the energy above the most stable polymorph in this dataset is 82 meV/atom. As for the energy relative to the elements, uncorrected: 81 meV per atom. As for the volume: 75 Å³/f.u. The calculation puts the calculated total energy at -48.11 eV/cell.

***

[6]
Computed, not measured: an optimized crystal structure of NaLi2Bi3Se6 at the PBE level of DFT.

The structure belongs to space group C2/m (No. 12); the cell edges are 18.078, 4.180 and 8.351 Å and the angles 90.00°, 102.83° and 90.00°. The asymmetric unit holds Na at (0.000, 0.000, 0.000), Li at (0.166, 0.500, 0.328), Bi at (0.000, 0.000, 0.500), Bi at (0.167, 0.500, 0.832), Se at (0.006, 0.500, 0.255), Se at (0.169, 0.000, 0.093) and Se at (0.170, 0.000, 0.582).

As for the energy relative to the elements, uncorrected: -725 meV per atom. As for the volume: 308 Å³/f.u. The calculation puts the calculated total energy at -92.80 eV/cell.

***

[7]
Computed, not measured: an optimized crystal structure of La2PbCl2 at the PBE level of DFT.

The structure belongs to space group I4/mmm (No. 139); the cell edges are 4.407, 4.407 and 15.105 Å and the angles 90.00°, 90.00° and 90.00°. The asymmetric unit holds La at (0.000, 0.000, 0.120), Pb at (0.000, 0.000, 0.500) and Cl at (0.000, 0.500, 0.250).

As for the energy relative to the elements, uncorrected: -1439 meV per atom. As for the volume: 147 Å³/f.u. The calculation puts the calculated total energy at -48.90 eV/cell.

***

[8]
Computed, not measured: an optimized crystal structure of SmSi2Rh4 at the PBE level of DFT.

The structure belongs to space group Pnma (No. 62); the cell edges are 16.749, 4.059 and 6.471 Å and the angles 90.00°, 90.00° and 90.00°. The asymmetric unit holds Sm at (0.138, 0.250, 0.004), Si at (0.038, 0.750, 0.264), Si at (0.216, 0.250, 0.528), Rh at (0.029, 0.750, 0.856), Rh at (0.073, 0.250, 0.496), Rh at (0.183, 0.750, 0.315) and Rh at (0.198, 0.750, 0.732).

As for the energy relative to the elements, uncorrected: -867 meV per atom. As for the volume: 110 Å³/f.u. The calculation puts the calculated total energy at -204.17 eV/cell.

***

[9]
Computed, not measured: an optimized crystal structure of CaAcZnSi at the PBE level of DFT.

The structure belongs to space group F-43m (No. 216); the cell edges are 7.526, 7.526 and 7.526 Å and the angles 90.00°, 90.00° and 90.00°. The asymmetric unit holds Ca at (0.000, 0.000, 0.000), Ac at (0.000, 0.000, 0.500), Zn at (0.250, 0.250, 0.750) and Si at (0.250, 0.250, 0.250).

The value obtained for the energy above the most stable polymorph in this dataset is 73 meV/atom. As for the energy relative to the elements, uncorrected: -329 meV per atom. As for the volume: 107 Å³/f.u. The calculation puts the calculated total energy at -56.48 eV/cell.

***

[10]
Computed, not measured: an optimized crystal structure of KTcAg2 at the PBE level of DFT.

The structure belongs to space group Immm (No. 71); the cell edges are 2.738, 5.781 and 11.450 Å and the angles 90.00°, 90.00° and 90.00°. The asymmetric unit holds K at (0.000, 0.000, 0.000), Tc at (0.000, 0.000, 0.500) and Ag at (0.000, 0.500, 0.213).

As for the energy relative to the elements: 901 meV/atom. The value obtained for the energy above the most stable polymorph in this dataset is 280 meV/atom. As for the volume: 91 Å³/f.u. The calculation puts the calculated total energy at -27.12 eV/cell.

***

[11]
Computed, not measured: an optimized crystal structure of PuU2PaC4 at the PBE level of DFT.

The structure belongs to space group P2/m (No. 10); the cell edges are 6.089, 3.544 and 6.146 Å and the angles 90.00°, 110.05° and 90.00°. The asymmetric unit holds Pu at (0.000, 0.000, 0.000), U at (0.500, 0.000, 0.500), U at (0.500, 0.500, 0.000), Pa at (0.000, 0.500, 0.500), C at (0.273, 0.000, 0.752) and C at (0.277, 0.500, 0.265).

As for the energy relative to the elements: -182 meV/atom. As for the volume: 125 Å³/f.u. The calculation puts the calculated total energy at -84.75 eV/cell.

***

[12]
Computed, not measured: an optimized crystal structure of In2Cu2Ge at the PBE level of DFT.

The structure belongs to space group P4/mbm (No. 127); the cell edges are 8.084, 8.084 and 2.896 Å and the angles 90.00°, 90.00° and 90.00°. The asymmetric unit holds In at (0.148, 0.352, 0.000), Cu at (0.150, 0.650, 0.500) and Ge at (0.000, 0.000, 0.000).

As for the energy relative to the elements: 232 meV/atom. The value obtained for the energy above the most stable polymorph in this dataset is 98 meV/atom. As for the volume: 95 Å³/f.u. The calculation puts the calculated total energy at -34.26 eV/cell.

***

- Look up the calculated total energy of the twelfth one.
  -34.26 eV/cell

***

- What is the formula in the first record?
  Ti5NiGe5

***

- calculated total energy of number 3 (Pm2Ho2Th5)?
  -110.39 eV/cell

***

Please write out number 1 again, unchanged.
Computed, not measured: an optimized crystal structure of Ti5NiGe5 at the PBE level of DFT.

The structure belongs to space group C2/m (No. 12); the cell edges are 11.738, 5.171 and 6.473 Å and the angles 90.00°, 107.81° and 90.00°. The asymmetric unit holds Ti at (0.000, 0.000, 0.000), Ti at (0.106, 0.500, 0.210), Ti at (0.184, 0.500, 0.830), Ni at (0.000, 0.000, 0.500), Ge at (0.000, 0.500, 0.500), Ge at (0.167, 0.000, 0.803) and Ge at (0.177, 0.000, 0.396).

As for the energy relative to the elements: -203 meV/atom. As for the volume: 187 Å³/f.u. The calculation puts the calculated total energy at -141.15 eV/cell.